Ac6Sb3TeAs2 | PBE-GGA | relaxed

Lattice parameters (Å, degrees): 20.4843 4.7025 9.4304 90.00 103.07 90.00
Space group C2/m (No. 12)
Asymmetric unit:
1 Ac 0.0054 0.0000 0.2592 [4 per cell]
2 Ac 0.1703 0.5000 0.5760 [4 per cell]
3 Ac 0.1707 0.5000 0.0964 [4 per cell]
4 Sb 0.0000 0.5000 0.5000 [2 per cell]
5 Sb 0.1632 0.0000 0.8332 [4 per cell]
6 Te 0.0000 0.5000 0.0000 [2 per cell]
7 As 0.1672 0.0000 0.3335 [4 per cell]

Results
total energy = -5.49 eV/atom
theoretical density = 7.52 g/cm³
uncorrected formation energy = -1.37 eV/atom
size of the total moment = 0.00 Bohr magnetons per cell



K2ThAlS5 | PBE-GGA | relaxed

Lattice parameters (Å, degrees): 3.9736 19.3910 13.9212 90.00 90.00 90.00
Space group Cmc2_1 (No. 36)
Asymmetric unit:
1 K 0.0000 0.1168 0.0000 [4 per cell]
2 K 0.0000 0.1268 0.6472 [4 per cell]
3 Th 0.0000 0.2018 0.3490 [4 per cell]
4 Al 0.0000 0.4367 0.7400 [4 per cell]
5 S 0.0000 0.0489 0.3291 [4 per cell]
6 S 0.0000 0.3041 0.9813 [4 per cell]
7 S 0.0000 0.3207 0.7054 [4 per cell]
8 S 0.0000 0.3397 0.3270 [4 per cell]
9 S 0.0000 0.4966 0.6054 [4 per cell]

Results
total energy = -5.07 eV/atom
theoretical density = 3.08 g/cm³
uncorrected formation energy = -1.29 eV/atom
size of the total moment = 4.43 Bohr magnetons per cell



Pm3PuTl4 | PBE-GGA | relaxed

Lattice parameters (Å, degrees): 3.5470 3.5470 18.1374 90.00 90.00 90.00
Space group P4/mmm (No. 123)
Asymmetric unit:
1 Pm 0.0000 0.0000 0.0000 [1 per cell]
2 Pm 0.0000 0.0000 0.2484 [2 per cell]
3 Pu 0.0000 0.0000 0.5000 [1 per cell]
4 Tl 0.5000 0.5000 0.1245 [2 per cell]
5 Tl 0.5000 0.5000 0.3749 [2 per cell]

Results
total energy = -5.04 eV/atom
theoretical density = 10.89 g/cm³
DFT formation energy = -0.2796 eV per atom
size of the total moment = 5.94 Bohr magnetons per cell



Ca2LaTlRu | PBE-GGA | relaxed

Lattice parameters (Å, degrees): 5.6046 5.6046 5.2150 90.00 90.00 90.00
Space group P4/mmm (No. 123)
Asymmetric unit:
1 Ca 0.0000 0.5000 0.0000 [2 per cell]
2 La 0.0000 0.0000 0.5000 [1 per cell]
3 Tl 0.5000 0.5000 0.5000 [1 per cell]
4 Ru 0.0000 0.0000 0.0000 [1 per cell]

Results
total energy = -4.22 eV/atom
theoretical density = 5.32 g/cm³
DFT formation energy = -0.1093 eV per atom
size of the total moment = 0.00 Bohr magnetons per cell



YRu3C | PBE-GGA | relaxed

Lattice parameters (Å, degrees): 5.0004 5.0004 22.0553 90.00 90.00 120.00
Space group R-3 (No. 148, hexagonal axes)
Asymmetric unit:
1 Y 0.0000 0.0000 0.1735 [6 per cell]
2 Ru 0.0009 0.3238 0.9452 [18 per cell]
3 C 0.0000 0.0000 0.3330 [6 per cell]

Results
total energy = -8.28 eV/atom
theoretical density = 8.43 g/cm³
DFT formation energy = 0.4238 eV per atom
size of the total moment = 0.00 Bohr magnetons per cell



ScTcSe2 | PBE-GGA | relaxed

Lattice parameters (Å, degrees): 4.2207 4.9569 6.6168 90.00 90.00 90.00
Space group Cmmm (No. 65)
Asymmetric unit:
1 Sc 0.0000 0.0000 0.0000 [2 per cell]
2 Tc 0.0000 0.0000 0.5000 [2 per cell]
3 Se 0.0000 0.5000 0.2637 [4 per cell]

Results
total energy = -6.30 eV/atom
theoretical density = 7.22 g/cm³
uncorrected formation energy = -0.38 eV/atom
E above lowest polymorph = 314 meV/atom
size of the total moment = 0.00 Bohr magnetons per cell



Zn2AgTe | PBE-GGA | relaxed

Lattice parameters (Å, degrees): 4.1210 4.0702 6.0363 90.00 109.50 90.00
Space group Pm (No. 6)
Asymmetric unit:
1 Zn 0.0000 0.0000 0.0000 [1 per cell]
2 Zn 0.4811 0.5000 0.9685 [1 per cell]
3 Ag 0.6384 0.0000 0.2826 [1 per cell]
4 Te 0.8214 0.5000 0.6445 [1 per cell]

Results
total energy = -2.13 eV/atom
theoretical density = 6.37 g/cm³
uncorrected formation energy = 0.01 eV/atom
E above lowest polymorph = 11 meV/atom
size of the total moment = 0.00 Bohr magnetons per cell



Si2SbPbO8 | PBE-GGA | relaxed

Lattice parameters (Å, degrees): 8.2133 5.4799 7.2501 90.00 92.01 90.00
Space group C2/m (No. 12)
Asymmetric unit:
1 Si 0.1499 0.0000 0.2198 [4 per cell]
2 Sb 0.0000 0.5000 0.0000 [2 per cell]
3 Pb 0.0000 0.5000 0.5000 [2 per cell]
4 O 0.0326 0.2494 0.2033 [8 per cell]
5 O 0.2287 0.0000 0.4287 [4 per cell]
6 O 0.2320 0.5000 0.9548 [4 per cell]

Results
total energy = -6.75 eV/atom
theoretical density = 5.23 g/cm³
uncorrected formation energy = -1.88 eV/atom
size of the total moment = 1.55 Bohr magnetons per cell



Tl2RhO6 | PBE-GGA | relaxed

Lattice parameters (Å, degrees): 4.9223 4.9223 10.2733 90.00 90.00 90.00
Space group P4_2/mnm (No. 136)
Asymmetric unit:
1 Tl 0.0000 0.0000 0.1674 [4 per cell]
2 Rh 0.0000 0.0000 0.5000 [2 per cell]
3 O 0.1832 0.1832 0.3526 [8 per cell]
4 O 0.2261 0.2261 0.0000 [4 per cell]

Results
total energy = -5.08 eV/atom
theoretical density = 8.11 g/cm³
uncorrected formation energy = -0.43 eV/atom
size of the total moment = 1.87 Bohr magnetons per cell